A plane-wave DFT calculation with GGA-PBE was carried out for crystalline BaGaSb2 at its relaxed geometry.

Computed properties:
- energy (eV/cell) = -60.49

Lattice parameters (Å, degrees): 8.2668 8.2668 7.8807 90.00 90.00 90.00
Closest atoms and distances in Å follow each position.
Atoms (fractional coordinates):
Ba 0.0000 0.0000 0.0000  8 Sb 3.56-3.87, 2 Ga 3.94
Ba 0.0000 0.5000 0.2500  8 Sb 3.56-3.87, 2 Ga 3.94
Ba 0.5000 0.0000 0.7500  8 Sb 3.56-3.87, 2 Ga 3.94
Ba 0.5000 0.5000 0.5000  8 Sb 3.56-3.87, 2 Ga 3.94
Ga 0.0000 0.0000 0.5000  4 Sb 2.68
Ga 0.0000 0.5000 0.7500  4 Sb 2.68
Ga 0.5000 0.0000 0.2500  4 Sb 2.68
Ga 0.5000 0.5000 0.0000  4 Sb 2.68
Sb 0.1695 0.7500 0.6250  2 Ga 2.68
Sb 0.2500 0.1695 0.3750  2 Ga 2.68
Sb 0.2500 0.3305 0.8750  2 Ga 2.68
Sb 0.3305 0.7500 0.1250  2 Ga 2.68
Sb 0.6695 0.2500 0.1250  2 Ga 2.68
Sb 0.7500 0.6695 0.8750  2 Ga 2.68
Sb 0.7500 0.8305 0.3750  2 Ga 2.68
Sb 0.8305 0.2500 0.6250  2 Ga 2.68

=====

A plane-wave DFT calculation with GGA-PBE was carried out for crystalline BaGa3Sb at its relaxed geometry.

Computed properties:
- energy (eV/cell) = -14.59
- distance to the lowest polymorph of the same formula (eV/atom) = 0.000

Lattice parameters (Å, degrees): 5.4430 5.4430 5.4430 90.00 90.00 90.00
Closest atoms and distances in Å follow each position.
Atoms (fractional coordinates):
Ba 0.0000 0.0000 0.0000  12 Ga 3.85
Ga 0.0000 0.5000 0.5000  2 Sb 2.72
Ga 0.5000 0.0000 0.5000  2 Sb 2.72
Ga 0.5000 0.5000 0.0000  2 Sb 2.72
Sb 0.5000 0.5000 0.5000  6 Ga 2.72

=====

A plane-wave DFT calculation with GGA-PBE was carried out for crystalline BaGaSb3 at its relaxed geometry.

Computed properties:
- energy (eV/cell) = -17.98
- distance to the lowest polymorph of the same formula (eV/atom) = 0.276

Lattice parameters (Å, degrees): 5.4794 5.4794 5.4794 90.00 90.00 90.00
Closest atoms and distances in Å follow each position.
Atoms (fractional coordinates):
Ba 0.0000 0.0000 0.0000  12 Sb 3.87
Ga 0.5000 0.5000 0.5000  6 Sb 2.74
Sb 0.0000 0.5000 0.5000  2 Ga 2.74
Sb 0.5000 0.0000 0.5000  2 Ga 2.74
Sb 0.5000 0.5000 0.0000  2 Ga 2.74

=====

A plane-wave DFT calculation with GGA-PBE was carried out for crystalline BaGaSb3 at its relaxed geometry.

Computed properties:
- energy (eV/cell) = -12.96
- distance to the lowest polymorph of the same formula (eV/atom) = 1.280

Lattice parameters (Å, degrees): 6.2762 6.2762 6.2762 90.00 90.00 90.00
Closest atoms and distances in Å follow each position.
Atoms (fractional coordinates):
Ba 0.0000 0.0000 0.0000  6 Sb 3.14
Ga 0.5000 0.5000 0.5000  12 Sb 4.44
Sb 0.0000 0.0000 0.5000  2 Ba 3.14
Sb 0.0000 0.5000 0.0000  2 Ba 3.14
Sb 0.5000 0.0000 0.0000  2 Ba 3.14